No. 1
Below is Pr4AlZn2Au after structural relaxation, with properties calculated at the GGA-PBE level.

Geometry as extended XYZ:
```
8
Lattice="2.637 1.522 8.663 -2.637 1.522 8.663 0.000 -3.045 8.663" Properties=species:S:1:pos:R:3 pbc="T T T"
Pr 0.000 0.000 3.219
Pr 0.000 0.000 9.732
Pr 0.000 0.000 16.256
Pr 0.000 0.000 22.768
Al 0.000 0.000 12.994
Zn 0.000 0.000 6.379
Zn 0.000 0.000 19.609
Au 0.000 0.000 0.000
```

Values from the calculation:
Calculated volume   26.08 Å³/atom
Crystal system   trigonal
M_tot   0.00 μB per atom
ρ   7.3 g/cm³
Formation energy   -0.415 eV/atom
Total energy   -32.0 eV/f.u.

=====

No. 2
Below is Li2MnPt5 after structural relaxation, with properties calculated at the GGA-PBE level.

Geometry as extended XYZ:
```
8
Lattice="0.000 4.505 4.661 2.778 0.000 4.661 2.778 4.505 0.000" Properties=species:S:1:pos:R:3 pbc="T T T"
Li 2.778 2.233 4.661
Li 2.778 6.776 4.661
Mn 2.778 4.505 2.882
Pt 1.389 2.252 2.327
Pt 4.169 4.505 5.194
Pt 4.167 6.757 6.989
Pt 1.387 4.505 5.194
Pt 2.778 4.505 7.556
```

Values from the calculation:
Calculated volume   14.58 Å³/atom
Crystal system   orthorhombic
M_tot   0.49 μB per atom
ρ   14.9 g/cm³
Formation energy   -0.431 eV/atom
Total energy   -46.7 eV/f.u.

=====

No. 3
Below is CdCu4Bi after structural relaxation, with properties calculated at the GGA-PBE level.

Geometry as extended XYZ:
```
6
Lattice="0.000 3.651 3.651 3.651 0.000 3.651 3.651 3.651 0.000" Properties=species:S:1:pos:R:3 pbc="T T T"
Cd 0.000 0.000 0.000
Cu 2.731 2.731 2.731
Cu 4.571 4.571 2.731
Cu 4.571 2.731 4.571
Cu 2.731 4.571 4.571
Bi 5.476 5.476 5.476
```

Values from the calculation:
Calculated volume   16.22 Å³/atom
Crystal system   cubic
M_tot   0.00 μB per atom
ρ   9.8 g/cm³
Formation energy   0.095 eV/atom
Total energy   -20.6 eV/f.u.

=====

No. 4
Below is Mg2BeB after structural relaxation, with properties calculated at the GGA-PBE level.

Geometry as extended XYZ:
```
8
Lattice="6.070 -1.604 0.000 6.070 1.604 0.000 -1.297 0.000 5.886" Properties=species:S:1:pos:R:3 pbc="T T T"
Mg 0.000 0.000 0.000
Mg -0.016 0.000 2.926
Mg 3.478 0.000 3.716
Mg 7.435 0.000 5.266
Be 2.207 0.000 1.568
Be 4.221 0.000 1.065
B 7.943 0.000 2.734
B 9.361 0.000 1.811
```

Values from the calculation:
Calculated volume   14.33 Å³/atom
Crystal system   monoclinic
M_tot   0.00 μB per atom
Relative energy among the computed polymorphs   7.3 kJ/mol of atoms
ρ   2.0 g/cm³
Formation energy   0.176 eV/atom
Total energy   -12.9 eV/f.u.